Na2Ga4Ag3, optimized geometry, DFT PBE-GGA; offset from the most stable computed form = 0.11 eV per formula unit; total DFT energy (no corrections) = -23.9 eV/cell; energy of formation = -67.1 meV per atom; symmetry = No. 69
1.0
0.0000 4.8622 6.6373
2.8245 0.0000 6.6373
2.8245 4.8622 0.0000
Na Ga Ag
2 4 3
Direct
0.1281 0.1281 0.8719 Na
0.8719 0.8719 0.1281 Na
0.1615 0.4953 0.5047 Ga
0.4953 0.1615 0.8385 Ga
0.5047 0.8385 0.1615 Ga
0.8385 0.5047 0.4953 Ga
0.0000 0.0000 0.5000 Ag
0.5000 0.5000 0.0000 Ag
0.5000 0.5000 0.5000 Ag